Compound: YZr2Hg
Source: the Alexandria database
Functional: PBE-GGA
Structure: optimized geometry

Output
Space-group type = Amm2 (38)
Density of states at the Fermi level = 1.242 states/eV/atom
Energy of formation = -6 kJ/mol of atoms

POSCAR file:
```
YZr2Hg
1.0
4.845 0.000 0.000
0.000 3.346 0.205
0.000 1.304 6.198
Zr Hg Y
2 1 1
direct
0.000 0.036 0.054 Zr
0.500 0.451 0.221 Zr
0.000 0.303 0.519 Hg
0.500 0.709 0.706 Y
```